! Al3Cl5, optimized geometry, DFT GGA-PBE; values from VASP
&SYSTEM
  ibrav = 0, nat = 16, ntyp = 2
/
ATOMIC_SPECIES
Al 26.98 Al.upf
Cl 35.45 Cl.upf
CELL_PARAMETERS angstrom
7.658 0.000 0.000
-3.829 6.632 0.000
0.000 0.000 6.998
ATOMIC_POSITIONS crystal
Al 0.000 0.374 0.250
Al 0.000 0.626 0.750
Al 0.374 0.000 0.250
Al 0.374 0.374 0.750
Al 0.626 0.000 0.750
Al 0.626 0.626 0.250
Cl 0.000 0.247 0.750
Cl 0.000 0.753 0.250
Cl 0.247 0.000 0.750
Cl 0.247 0.247 0.250
Cl 0.333 0.667 0.000
Cl 0.333 0.667 0.500
Cl 0.667 0.333 0.000
Cl 0.667 0.333 0.500
Cl 0.753 0.000 0.250
Cl 0.753 0.753 0.750
! Offset from the most stable computed form: 410 meV per atom
! Formation energy without anion corrections: -0.540 eV/atom
! Density of states at the Fermi level: 10.44 states/eV per cell


! Tb2Pm3Tl, optimized geometry, DFT GGA-PBE; values from VASP
&SYSTEM
  ibrav = 0, nat = 12, ntyp = 3
/
ATOMIC_SPECIES
Tb 158.93 Tb.upf
Pm 145.00 Pm.upf
Tl 204.38 Tl.upf
CELL_PARAMETERS angstrom
8.686 -3.426 0.000
8.686 3.426 0.000
-1.027 0.000 6.448
ATOMIC_POSITIONS crystal
Tb 0.054 0.269 0.075
Tb 0.269 0.054 0.575
Tb 0.731 0.946 0.425
Tb 0.946 0.731 0.925
Pm 0.216 0.448 0.457
Pm 0.268 0.732 0.250
Pm 0.448 0.216 0.957
Pm 0.552 0.784 0.043
Pm 0.732 0.268 0.750
Pm 0.784 0.552 0.543
Tl 0.223 0.777 0.750
Tl 0.777 0.223 0.250
! Offset from the most stable computed form: 40 meV per atom
! Density of states at the Fermi level: 12.24 states/eV per cell
! E_form: -0.070 eV per atom


! TmLuNiIr, optimized geometry, DFT GGA-PBE; values from VASP
&SYSTEM
  ibrav = 0, nat = 16, ntyp = 4
/
ATOMIC_SPECIES
Tm 168.93 Tm.upf
Lu 174.97 Lu.upf
Ni 58.69 Ni.upf
Ir 192.22 Ir.upf
CELL_PARAMETERS angstrom
6.693 0.000 0.000
0.000 6.693 0.000
0.000 0.000 6.693
ATOMIC_POSITIONS crystal
Tm 0.000 0.000 0.000
Tm 0.000 0.500 0.500
Tm 0.500 0.000 0.500
Tm 0.500 0.500 0.000
Lu 0.000 0.000 0.500
Lu 0.000 0.500 0.000
Lu 0.500 0.000 0.000
Lu 0.500 0.500 0.500
Ni 0.250 0.250 0.750
Ni 0.250 0.750 0.250
Ni 0.750 0.250 0.250
Ni 0.750 0.750 0.750
Ir 0.250 0.250 0.250
Ir 0.250 0.750 0.750
Ir 0.750 0.250 0.750
Ir 0.750 0.750 0.250
! Density of states at the Fermi level: 7.62 states/eV per cell
! E_form: -0.750 eV per atom


! AlInSe, optimized geometry, DFT GGA-PBE; values from VASP
&SYSTEM
  ibrav = 0, nat = 3, ntyp = 3
/
ATOMIC_SPECIES
Al 26.98 Al.upf
In 114.82 In.upf
Se 78.96 Se.upf
CELL_PARAMETERS angstrom
5.189 0.000 0.000
-2.594 4.493 0.000
0.000 0.000 2.894
ATOMIC_POSITIONS crystal
Al 0.000 0.000 0.000
In 0.333 0.667 0.569
Se 0.667 0.333 0.965
! Offset from the most stable computed form: 333 meV per atom
! Formation energy without anion corrections: 0.070 eV/atom
! Density of states at the Fermi level: 1.21 states/eV per cell


! K2RbCu2Br7, optimized geometry, DFT GGA-PBE; values from VASP
&SYSTEM
  ibrav = 0, nat = 12, ntyp = 4
/
ATOMIC_SPECIES
K 39.10 K.upf
Rb 85.47 Rb.upf
Cu 63.55 Cu.upf
Br 79.90 Br.upf
CELL_PARAMETERS angstrom
3.685 -3.685 0.000
3.685 3.685 0.000
-3.656 0.000 13.293
ATOMIC_POSITIONS crystal
K 0.179 0.179 0.360
K 0.821 0.821 0.640
Rb 0.000 0.000 0.000
Cu 0.404 0.404 0.803
Cu 0.596 0.596 0.197
Br 0.094 0.594 0.191
Br 0.308 0.308 0.612
Br 0.406 0.906 0.809
Br 0.500 0.500 0.000
Br 0.594 0.094 0.191
Br 0.692 0.692 0.388
Br 0.906 0.406 0.809
! Formation energy without anion corrections: -0.999 eV/atom
! Density of states at the Fermi level: 3.70 states/eV per cell


! Cs3RuCl8, optimized geometry, DFT GGA-PBE; values from VASP
&SYSTEM
  ibrav = 0, nat = 24, ntyp = 3
/
ATOMIC_SPECIES
Cs 132.91 Cs.upf
Ru 101.07 Ru.upf
Cl 35.45 Cl.upf
CELL_PARAMETERS angstrom
10.284 0.000 0.000
-5.142 8.906 0.000
0.000 0.000 9.270
ATOMIC_POSITIONS crystal
Cs 0.155 0.309 0.000
Cs 0.155 0.845 0.000
Cs 0.309 0.155 0.500
Cs 0.691 0.845 0.000
Cs 0.845 0.155 0.500
Cs 0.845 0.691 0.500
Ru 0.333 0.667 0.441
Ru 0.667 0.333 0.941
Cl 0.000 0.000 0.254
Cl 0.000 0.000 0.754
Cl 0.119 0.559 0.296
Cl 0.227 0.454 0.587
Cl 0.227 0.773 0.587
Cl 0.333 0.667 0.907
Cl 0.441 0.559 0.296
Cl 0.441 0.881 0.296
Cl 0.454 0.227 0.087
Cl 0.546 0.773 0.587
Cl 0.559 0.119 0.796
Cl 0.559 0.441 0.796
Cl 0.667 0.333 0.407
Cl 0.773 0.227 0.087
Cl 0.773 0.546 0.087
Cl 0.881 0.441 0.796
! Offset from the most stable computed form: 0 meV per atom
! Formation energy without anion corrections: -1.210 eV/atom
! Density of states at the Fermi level: 3.89 states/eV per cell


! HOsBrF, optimized geometry, DFT GGA-PBE; values from VASP
&SYSTEM
  ibrav = 0, nat = 8, ntyp = 4
/
ATOMIC_SPECIES
H 1.01 H.upf
Os 190.23 Os.upf
Br 79.90 Br.upf
F 19.00 F.upf
CELL_PARAMETERS angstrom
11.333 0.000 0.000
0.000 3.589 0.000
-0.832 0.000 3.094
ATOMIC_POSITIONS crystal
H 0.000 0.000 0.000
H 0.500 0.500 0.000
Os 0.059 0.000 0.554
Os 0.559 0.500 0.554
Br 0.201 0.500 0.685
Br 0.701 0.000 0.685
F 0.442 0.000 0.447
F 0.942 0.500 0.447
! Offset from the most stable computed form: 0 meV per atom
! Density of states at the Fermi level: 4.08 states/eV per cell


! BaSr2P2, optimized geometry, DFT GGA-PBE; values from VASP
&SYSTEM
  ibrav = 0, nat = 10, ntyp = 3
/
ATOMIC_SPECIES
Ba 137.33 Ba.upf
Sr 87.62 Sr.upf
P 30.97 P.upf
CELL_PARAMETERS angstrom
5.698 0.000 0.000
0.000 5.698 0.000
0.000 0.000 10.830
ATOMIC_POSITIONS crystal
Ba 0.000 0.000 0.000
Ba 0.500 0.500 0.500
Sr 0.000 0.000 0.325
Sr 0.000 0.000 0.675
Sr 0.500 0.500 0.175
Sr 0.500 0.500 0.825
P 0.000 0.500 0.250
P 0.000 0.500 0.750
P 0.500 0.000 0.250
P 0.500 0.000 0.750
! Offset from the most stable computed form: 402 meV per atom
! Density of states at the Fermi level: 1.87 states/eV per cell
! E_form: -0.640 eV per atom


! Mg2CdAg, optimized geometry, DFT GGA-PBE; values from VASP
&SYSTEM
  ibrav = 0, nat = 4, ntyp = 3
/
ATOMIC_SPECIES
Mg 24.30 Mg.upf
Cd 112.41 Cd.upf
Ag 107.87 Ag.upf
CELL_PARAMETERS angstrom
3.233 0.000 0.000
0.000 4.862 0.000
0.000 0.000 5.066
ATOMIC_POSITIONS crystal
Mg 0.000 0.000 0.000
Mg 0.000 0.500 0.401
Cd 0.500 0.000 0.511
Ag 0.500 0.500 0.896
! Offset from the most stable computed form: 11 meV per atom
! Density of states at the Fermi level: 1.01 states/eV per cell
! E_form: -0.164 eV per atom


! BaBCSe2, optimized geometry, DFT GGA-PBE; values from VASP
&SYSTEM
  ibrav = 0, nat = 5, ntyp = 4
/
ATOMIC_SPECIES
Ba 137.33 Ba.upf
B 10.81 B.upf
C 12.01 C.upf
Se 78.96 Se.upf
CELL_PARAMETERS angstrom
5.717 0.000 0.000
0.000 5.717 0.000
0.000 0.000 3.069
ATOMIC_POSITIONS crystal
Ba 0.000 0.000 0.000
B 0.500 0.500 0.500
C 0.500 0.500 0.000
Se 0.000 0.500 0.500
Se 0.500 0.000 0.500
! Formation energy without anion corrections: 0.174 eV/atom
! Density of states at the Fermi level: 3.13 states/eV per cell


! CsTl2P2, optimized geometry, DFT GGA-PBE; values from VASP
&SYSTEM
  ibrav = 0, nat = 10, ntyp = 3
/
ATOMIC_SPECIES
Cs 132.91 Cs.upf
Tl 204.38 Tl.upf
P 30.97 P.upf
CELL_PARAMETERS angstrom
5.127 0.000 0.000
0.000 5.127 0.000
0.000 0.000 11.033
ATOMIC_POSITIONS crystal
Cs 0.000 0.000 0.000
Cs 0.500 0.500 0.500
Tl 0.000 0.000 0.361
Tl 0.000 0.000 0.639
Tl 0.500 0.500 0.139
Tl 0.500 0.500 0.861
P 0.000 0.500 0.250
P 0.000 0.500 0.750
P 0.500 0.000 0.250
P 0.500 0.000 0.750
! Offset from the most stable computed form: 207 meV per atom
! Density of states at the Fermi level: 5.07 states/eV per cell
! E_form: 0.098 eV per atom


! YGa3Cu, optimized geometry, DFT GGA-PBE; values from VASP
&SYSTEM
  ibrav = 0, nat = 10, ntyp = 3
/
ATOMIC_SPECIES
Y 88.91 Y.upf
Ga 69.72 Ga.upf
Cu 63.55 Cu.upf
CELL_PARAMETERS angstrom
4.123 0.000 0.000
0.000 4.123 0.000
0.000 0.000 10.664
ATOMIC_POSITIONS crystal
Y 0.000 0.000 0.000
Y 0.500 0.500 0.500
Ga 0.000 0.000 0.595
Ga 0.000 0.500 0.251
Ga 0.000 0.500 0.751
Ga 0.500 0.000 0.251
Ga 0.500 0.000 0.751
Ga 0.500 0.500 0.095
Cu 0.000 0.000 0.375
Cu 0.500 0.500 0.875
! Offset from the most stable computed form: 0 meV per atom
! Density of states at the Fermi level: 3.31 states/eV per cell
! E_form: -0.483 eV per atom